1.
VASP calculation (GGA-PBE) on LaPmMgSb after structural relaxation.

Computed properties:
Formation energy (no corrections) (eV/f.u.): -1.97
VASP energy (eV per cell): -17.36
Crystal system: cubic
Calculated volume (A^3/atom): 29.3

Unit cell a=5.493 b=5.493 c=5.493 alpha=60.00 beta=60.00 gamma=60.00
Element x y z (fractional)
Sb 0.750 0.750 0.750
Mg 0.250 0.250 0.250
La 0.000 0.000 0.000
Pm 0.500 0.500 0.500

2.
VASP calculation (GGA-PBE) on LaPmMgSc after structural relaxation.

Computed properties:
E above lowest polymorph (eV/atom): 0.014
VASP energy (eV per cell): -17.56
Crystal system: cubic
Calculated formation energy (eV/atom): 0.011
Calculated volume (A^3/atom): 29.9

Unit cell a=5.529 b=5.529 c=5.529 alpha=60.00 beta=60.00 gamma=60.00
Element x y z (fractional)
Sc 0.000 0.000 0.000
Mg 0.500 0.500 0.500
La 0.250 0.250 0.250
Pm 0.750 0.750 0.750

3.
VASP calculation (GGA-PBE) on LaPmMgSc after structural relaxation.

Computed properties:
E above lowest polymorph (eV/atom): 0.000
VASP energy (eV per cell): -17.62
Crystal system: tetragonal
Calculated formation energy (eV/atom): -0.003
Calculated volume (A^3/atom): 30.2

Unit cell a=3.850 b=3.850 c=8.153 alpha=90.00 beta=90.00 gamma=90.00
Element x y z (fractional)
La 0.000 0.000 0.860
Pm 0.000 0.000 0.353
Mg 0.500 0.500 0.115
Sc 0.500 0.500 0.600

4.
VASP calculation (GGA-PBE) on La2Pm2Sm4Mg after structural relaxation.

Computed properties:
VASP energy (eV per cell): -39.08
Crystal system: triclinic
Calculated formation energy (eV/atom): 0.083
Calculated volume (A^3/atom): 34.3

Unit cell a=7.666 b=8.900 c=6.544 alpha=132.34 beta=104.80 gamma=90.63
Element x y z (fractional)
La 0.778 0.374 0.185
La 0.222 0.626 0.815
Pm 0.110 0.797 0.427
Pm 0.890 0.203 0.573
Sm 0.695 0.666 0.878
Sm 0.594 0.831 0.509
Sm 0.305 0.334 0.122
Sm 0.406 0.169 0.491
Mg 0.000 0.000 0.000

5.
VASP calculation (GGA-PBE) on La3Pm2Sm6Mg after structural relaxation.

Computed properties:
VASP energy (eV per cell): -53.92
Crystal system: monoclinic
Calculated formation energy (eV/atom): 0.023
Calculated volume (A^3/atom): 33.8

Unit cell a=6.284 b=6.284 c=12.043 alpha=95.03 beta=95.03 gamma=120.06
Element x y z (fractional)
La 0.168 0.832 0.500
La 0.832 0.168 0.500
La 0.500 0.500 0.500
Pm 0.333 0.667 0.000
Pm 0.667 0.333 0.000
Sm 0.919 0.589 0.755
Sm 0.751 0.751 0.247
Sm 0.081 0.411 0.245
Sm 0.589 0.919 0.755
Sm 0.249 0.249 0.753
Sm 0.411 0.081 0.245
Mg 0.000 0.000 0.000

6.
VASP calculation (GGA-PBE) on LaPm6Sm2Mg after structural relaxation.

Computed properties:
VASP energy (eV per cell): -86.74
Crystal system: monoclinic
Calculated formation energy (eV/atom): 0.110
Calculated volume (A^3/atom): 33.7

Unit cell a=9.216 b=9.081 c=9.081 alpha=117.39 beta=90.70 gamma=90.70
Element x y z (fractional)
La 0.250 0.973 0.027
La 0.750 0.027 0.973
Pm 0.057 0.144 0.785
Pm 0.443 0.215 0.856
Pm 0.943 0.856 0.215
Pm 0.557 0.785 0.144
Pm 0.290 0.008 0.430
Pm 0.210 0.570 0.992
Pm 0.710 0.992 0.570
Pm 0.790 0.430 0.008
Pm 0.096 0.728 0.496
Pm 0.404 0.504 0.272
Pm 0.904 0.272 0.504
Pm 0.596 0.496 0.728
Sm 0.443 0.786 0.669
Sm 0.057 0.331 0.214
Sm 0.557 0.214 0.331
Sm 0.943 0.669 0.786
Mg 0.250 0.424 0.576
Mg 0.750 0.576 0.424

7.
VASP calculation (GGA-PBE) on La6Pm2Sm3Mg after structural relaxation.

Computed properties:
VASP energy (eV per cell): -54.67
Crystal system: monoclinic
Calculated formation energy (eV/atom): 0.012
Calculated volume (A^3/atom): 34.6

Unit cell a=6.357 b=6.357 c=12.051 alpha=95.08 beta=95.08 gamma=120.09
Element x y z (fractional)
La 0.918 0.588 0.752
La 0.752 0.752 0.249
La 0.082 0.412 0.248
La 0.588 0.918 0.752
La 0.248 0.248 0.751
La 0.412 0.082 0.248
Pm 0.333 0.667 0.000
Pm 0.667 0.333 0.000
Sm 0.167 0.833 0.500
Sm 0.833 0.167 0.500
Sm 0.500 0.500 0.500
Mg 0.000 0.000 0.000

8.
VASP calculation (GGA-PBE) on La2Pm2Sm2Mg after structural relaxation.

Computed properties:
VASP energy (eV per cell): -29.80
Crystal system: monoclinic
Calculated formation energy (eV/atom): 0.084
Calculated volume (A^3/atom): 33.6

Unit cell a=3.534 b=6.232 c=11.963 alpha=110.31 beta=90.00 gamma=106.47
Element x y z (fractional)
La 0.551 0.101 0.768
La 0.449 0.899 0.232
Pm 0.763 0.527 0.635
Pm 0.237 0.473 0.365
Sm 0.667 0.333 0.085
Sm 0.333 0.667 0.915
Mg 0.000 0.000 0.500

9.
VASP calculation (GGA-PBE) on LaPmSm2Mg after structural relaxation.

Computed properties:
VASP energy (eV per cell): -41.18
Crystal system: monoclinic
Calculated formation energy (eV/atom): 0.024
Calculated volume (A^3/atom): 32.5

Unit cell a=5.011 b=6.239 c=11.346 alpha=89.65 beta=90.00 gamma=113.68
Element x y z (fractional)
La 0.546 0.092 0.153
La 0.454 0.908 0.847
Pm 0.247 0.494 0.257
Pm 0.753 0.506 0.743
Sm 0.353 0.706 0.547
Sm 0.647 0.294 0.453
Sm 0.155 0.310 0.947
Sm 0.845 0.690 0.053
Mg 0.946 0.892 0.361
Mg 0.054 0.108 0.639

10.
VASP calculation (GGA-PBE) on La2Pm6Sm3Mg after structural relaxation.

Computed properties:
VASP energy (eV per cell): -53.96
Crystal system: monoclinic
Calculated formation energy (eV/atom): 0.013
Calculated volume (A^3/atom): 33.8

Unit cell a=6.286 b=6.286 c=12.033 alpha=95.06 beta=95.06 gamma=120.04
Element x y z (fractional)
La 0.333 0.667 0.000
La 0.667 0.333 0.000
Pm 0.917 0.587 0.749
Pm 0.754 0.754 0.252
Pm 0.083 0.413 0.251
Pm 0.587 0.917 0.749
Pm 0.246 0.246 0.748
Pm 0.413 0.083 0.251
Sm 0.166 0.834 0.500
Sm 0.834 0.166 0.500
Sm 0.500 0.500 0.500
Mg 0.000 0.000 0.000

11.
VASP calculation (GGA-PBE) on LaPm2Sm2Mg after structural relaxation.

Computed properties:
VASP energy (eV per cell): -48.51
Crystal system: orthorhombic
Calculated formation energy (eV/atom): 0.201
Calculated volume (A^3/atom): 34.0

Unit cell a=3.451 b=6.234 c=18.971 alpha=90.00 beta=90.00 gamma=90.00
Site moments in Bohr magnetons follow the coordinates.
Element x y z (fractional)
La 0.000 0.000 0.000  0.08
La 0.500 0.500 0.500  0.08
Pm 0.500 0.832 0.363  0.00
Pm 0.500 0.168 0.637  0.00
Pm 0.000 0.668 0.863  0.00
Pm 0.000 0.332 0.137  0.00
Sm 0.500 0.333 0.298  0.00
Sm 0.000 0.833 0.202  0.00
Sm 0.500 0.667 0.702  0.00
Sm 0.000 0.167 0.798  0.00
Mg 0.500 0.500 0.000  0.00
Mg 0.000 0.000 0.500  0.00

12.
VASP calculation (GGA-PBE) on La6Pm2SmMg after structural relaxation.

Computed properties:
VASP energy (eV per cell): -89.07
Crystal system: monoclinic
Calculated formation energy (eV/atom): 0.084
Calculated volume (A^3/atom): 35.0

Unit cell a=9.545 b=8.763 c=8.763 alpha=104.74 beta=95.48 gamma=95.48
Element x y z (fractional)
La 0.082 0.080 0.742
La 0.418 0.258 0.920
La 0.918 0.920 0.258
La 0.582 0.742 0.080
La 0.327 0.034 0.457
La 0.173 0.543 0.966
La 0.673 0.966 0.543
La 0.827 0.457 0.034
La 0.099 0.677 0.436
La 0.401 0.564 0.323
La 0.901 0.323 0.564
La 0.599 0.436 0.677
Pm 0.406 0.800 0.736
Pm 0.094 0.264 0.200
Pm 0.594 0.200 0.264
Pm 0.906 0.736 0.800
Sm 0.250 0.930 0.070
Sm 0.750 0.070 0.930
Mg 0.250 0.403 0.597
Mg 0.750 0.597 0.403